{
  "formula": "K2Ca2Ta",
  "functional": "SCAN",
  "state": "single point on PBEsol structure",
  "dos_at_fermi_per_ev_atom": 0.972,
  "ef_mev_per_atom": 1157,
  "cell": [[4.334, 0.000, 0.000], [0.000, 4.334, 0.000], [0.000, 0.000, 20.326]],
  "species": ["K", "K", "K", "K", "Ca", "Ca", "Ca", "Ca", "Ta", "Ta"],
  "frac_coords": [[0.000, 0.500, 0.250], [0.000, 0.500, 0.750], [0.500, 0.000, 0.250], [0.500, 0.000, 0.750], [0.000, 0.000, 0.079], [0.000, 0.000, 0.921], [0.500, 0.500, 0.421], [0.500, 0.500, 0.579], [0.000, 0.000, 0.500], [0.500, 0.500, 0.000]]
}